# 1
Compound: Tb3Pm4Mg
Source: Alexandria via LeMat-Bulk
Functional: GGA-PBE
Structure: optimized geometry

abc: 10.1608 7.0918 7.1048
angles: 90.00 90.00 90.00
Positions (direct):
Tb: 0.0000 0.0007 0.0000
Tb: 0.2504 0.2494 0.2502
Tb: 0.2496 0.7506 0.7502
Tb: 0.5000 0.9993 0.5000
Tb: 0.7496 0.2494 0.2502
Tb: 0.7504 0.7506 0.7502
Pm: 0.0000 0.0005 0.5003
Pm: 0.0000 0.4996 0.5004
Pm: 0.2493 0.7505 0.2501
Pm: 0.2507 0.2495 0.7501
Pm: 0.5000 0.5004 0.0004
Pm: 0.5000 0.9995 0.0003
Pm: 0.7493 0.2495 0.7501
Pm: 0.7507 0.7505 0.2501
Mg: 0.0000 0.4999 0.0002
Mg: 0.5000 0.5001 0.5002

Computed properties:
Size of the total moment: 0.0 μB/f.u.
Density: 7.01 g/cm³
Relative energy among the computed polymorphs: 0 meV per atom
DFT formation energy: 0.017 eV per atom

# 2
Compound: Ca2CuO
Source: Alexandria via LeMat-Bulk
Functional: GGA-PBE
Structure: optimized geometry

abc: 6.2404 6.2404 6.2404
angles: 115.53 115.53 97.93
Positions (direct):
Ca: 0.0364 0.6250 0.9114
Ca: 0.3750 0.2864 0.4114
Ca: 0.7136 0.1250 0.0886
Ca: 0.8750 0.9636 0.5886
Cu: 0.2500 0.7500 0.5000
Cu: 0.5000 0.5000 0.0000
O: 0.0000 0.0000 0.0000
O: 0.7500 0.2500 0.5000

Computed properties:
Size of the total moment: 0.0 μB/f.u.
Density: 2.92 g/cm³
Energy relative to the elements, uncorrected: -1.261 eV per atom

# 3
Compound: Na3TbSb2Se6
Source: Alexandria via LeMat-Bulk
Functional: GGA-PBE
Structure: optimized geometry

abc: 7.2266 7.2266 7.4276
angles: 99.31 99.31 120.02
Positions (direct):
Na: 0.0000 0.0000 0.0000
Na: 0.3288 0.6712 0.0000
Na: 0.6712 0.3288 0.0000
Tb: 0.5000 0.5000 0.5000
Sb: 0.1662 0.8338 0.5000
Sb: 0.8338 0.1662 0.5000
Se: 0.0905 0.4235 0.2700
Se: 0.2441 0.2441 0.7318
Se: 0.4235 0.0905 0.2700
Se: 0.5765 0.9095 0.7300
Se: 0.7559 0.7559 0.2682
Se: 0.9095 0.5765 0.7300

Computed properties:
Size of the total moment: 0.0 μB/f.u.
Density: 4.94 g/cm³
Energy relative to the elements, uncorrected: -0.996 eV per atom

Number 1: DFT total energy -4.29 eV/atom. Number 2: DFT total energy -4.53 eV/atom. Number 3: DFT total energy -4.14 eV/atom.